A:
First-principles (GGA+U) data for crystalline VSiNF2 at its relaxed geometry, as listed in Alexandria.

The symmetry is No. 123. As for the density: 3.80 g/cm3.

abc: 4.1054 4.1054 3.3998
angles: 90.00 90.00 90.00
With the nearest neighbours (Å) after each atom.
Atoms (fractional coordinates):
V 0.0000 0.0000 0.0000  8 F 2.67, 4 N 2.90
Si 0.5000 0.5000 0.5000  2 N 1.70
N 0.5000 0.5000 0.0000  2 Si 1.70
F 0.0000 0.5000 0.5000  2 Si 2.05
F 0.5000 0.0000 0.5000  2 Si 2.05

B:
First-principles (GGA+U) data for crystalline VSiNF2 at its relaxed geometry, as listed in Alexandria.

The symmetry is No. 123. As for the density: 3.43 g/cm3.

abc: 4.0011 4.0011 3.9659
angles: 90.00 90.00 90.00
With the nearest neighbours (Å) after each atom.
Atoms (fractional coordinates):
V 0.0000 0.0000 0.0000  2 N 1.98, 4 F 2.00
Si 0.5000 0.5000 0.5000  8 F 2.82, 4 N 2.83
N 0.0000 0.0000 0.5000  2 V 1.98
F 0.0000 0.5000 0.0000  2 V 2.00
F 0.5000 0.0000 0.0000  2 V 2.00

Consider the structures shown above. The most stable of them is A.